(1)
Below is a geometry-optimized CeTl2Hg5 structure, with properties calculated at the PBE level.

```
CeTl2Hg5
1.0
4.5020 0.0000 -1.6881
-0.6330 4.4573 -1.6881
1.1234 1.2942 9.8431
Ce Tl Hg
1 2 5
Cartesian
0.0000 0.0000 0.0000
1.5082 1.7376 4.0222
3.4842 4.0139 2.4446
1.9345 2.2286 -1.6881
2.9941 0.8561 1.1376
0.4266 3.0847 1.1376
1.9983 4.8954 5.3292
4.5658 2.6668 5.3292
```

Values from the calculation:
Total energy   -1.68 eV/atom
Symmetry   I4/mmm

***

(2)
Below is a geometry-optimized Ce6Tl3Hg structure, with properties calculated at the PBE level.

```
Ce6Tl3Hg
1.0
5.9802 0.0000 -0.0021
0.0000 8.8771 0.0000
0.0809 0.0000 10.7088
Ce Tl Hg
12 6 2
Cartesian
3.1861 1.2508 10.1586
3.1316 1.2686 5.9115
4.3580 3.6082 2.6990
1.7031 5.2688 8.0077
2.9295 7.6085 4.7952
2.8750 7.6263 0.5481
0.1555 3.1878 4.8053
0.1011 3.1699 0.5581
1.4084 0.8303 8.0545
4.6527 8.0468 2.6523
5.9600 5.7071 10.1486
5.9056 5.6893 5.9015
4.1836 7.6688 8.0262
2.9901 4.4385 -0.0011
1.8775 1.2083 2.6805
1.1531 5.6468 2.6728
0.0405 0.0000 5.3544
4.9080 3.2303 8.0339
3.0306 4.4385 5.3534
0.0000 0.0000 0.0000
```

Values from the calculation:
Total energy   -4.42 eV/atom
Symmetry   P2_1/c

***

(3)
Below is a geometry-optimized CeTlHg4 structure, with properties calculated at the PBE level.

```
CeTlHg4
1.0
-3.5611 -0.4231 3.7152
-0.3744 -6.7335 -1.1256
6.2780 -4.7360 5.4783
Ce Tl Hg
2 2 8
Cartesian
-1.1546 -2.3417 4.0092
3.4972 -9.5510 4.0588
-1.2619 -5.7253 3.5211
3.6045 -6.1673 4.5469
1.4107 -7.5269 2.2892
-0.7479 -7.0501 0.2746
0.7314 -7.9717 5.1759
2.8921 -8.4097 7.1971
0.9319 -4.3658 5.7787
1.6111 -3.9209 2.8921
3.0904 -4.8425 7.7934
-0.5495 -3.4829 0.8708
```

Values from the calculation:
Polymorph energy (0 for the lowest one)   0.0 meV per atom
Total energy   -1.79 eV/atom
Symmetry   Cmcm

***

(4)
Below is a geometry-optimized Ce2TlHg8 structure, with properties calculated at the PBE level.

```
Ce2TlHg8
1.0
5.0907 0.0000 0.0000
0.0000 7.2094 -0.2394
-2.5453 -3.2976 8.2074
Ce Tl Hg
2 1 8
Cartesian
2.5453 0.1944 4.8476
0.0000 3.7174 3.1203
2.5453 0.0000 0.0000
0.0000 1.8162 5.7973
2.5453 5.2986 2.0981
2.5453 3.7974 5.2849
2.5453 -1.1837 8.1175
0.0000 0.1144 2.6830
0.0000 -1.3868 5.8699
2.5453 2.0956 2.1707
0.0000 5.0955 -0.1495
```

Values from the calculation:
Total energy   -1.69 eV/atom
Symmetry   C2/m

***

(5)
Below is a geometry-optimized Ce6TlHg structure, with properties calculated at the PBE level.

```
Ce6TlHg
1.0
6.6441 -0.1085 -0.7303
-2.5726 6.1268 -0.7303
-1.4561 -2.1523 6.0536
Ce Tl Hg
6 1 1
Cartesian
-0.1556 -0.2300 3.8979
3.0811 -0.3489 0.9429
2.7711 4.0961 0.6951
4.0856 1.1359 3.6501
-0.4656 4.2149 3.6501
-1.4701 2.7301 0.9429
1.3077 1.9330 2.2965
0.0000 0.0000 0.0000
```

Values from the calculation:
Polymorph energy (0 for the lowest one)   233.5 meV per atom
Total energy   -4.65 eV/atom
Symmetry   C2/m

***

(6)
Below is a geometry-optimized Ce3Tl4Hg4 structure, with properties calculated at the PBE level.

```
Ce3Tl4Hg4
1.0
5.0155 0.0000 0.0000
-2.5077 5.8473 0.0000
0.0000 0.0000 10.5446
Ce Tl Hg
3 4 4
Cartesian
0.0000 4.9239 3.0356
0.0000 4.9239 7.5090
0.0000 2.6462 0.0000
2.5077 1.7091 5.2723
2.5077 0.5452 0.0000
0.0000 1.2591 7.5492
0.0000 1.2591 2.9954
2.5077 2.8607 8.2882
2.5077 2.8607 2.2564
2.5077 4.8593 5.2723
2.5077 4.8799 0.0000
```

Values from the calculation:
Total energy   -2.75 eV/atom
Symmetry   Amm2

***

(7)
Below is a geometry-optimized CeTl2Hg4 structure, with properties calculated at the PBE level.

```
CeTl2Hg4
1.0
5.2293 0.0000 0.0000
2.6147 4.5287 0.0000
2.6147 1.5096 8.4020
Ce Tl Hg
1 2 4
Cartesian
0.0000 0.0000 0.0000
7.8440 4.5287 6.4363
2.6147 1.5096 1.9657
5.2293 3.0192 1.3681
7.8440 4.5287 3.3807
5.2293 3.0192 7.0339
2.6147 1.5096 5.0213
```

Values from the calculation:
Total energy   -1.82 eV/atom
Symmetry   R-3m

***

(8)
Below is a geometry-optimized CeTl2Hg2 structure, with properties calculated at the PBE level.

```
CeTl2Hg2
1.0
5.0508 0.0000 0.0000
0.0000 3.3961 0.0000
-2.5254 -1.6980 16.9384
Ce Tl Hg
2 4 4
Cartesian
2.5254 0.8490 10.6783
0.0000 0.8490 6.2600
2.5254 0.8490 1.5104
2.5254 -0.8490 13.9407
0.0000 0.8490 15.4280
0.0000 2.5471 2.9976
2.5254 2.5471 7.7278
0.0000 -0.8490 9.2106
0.0000 -0.8490 12.2013
2.5254 2.5471 4.7371
```

Values from the calculation:
Total energy   -2.40 eV/atom
Symmetry   Imma

***

(9)
Below is a geometry-optimized Ce3Tl2Hg4 structure, with properties calculated at the PBE level.

```
Ce3Tl2Hg4
1.0
5.1078 0.0000 0.0000
-2.5539 5.2938 -1.9699
0.0000 -1.5987 9.4194
Ce Tl Hg
3 2 4
Cartesian
2.5539 0.6842 5.6531
0.0000 0.0000 0.0000
0.0000 3.0109 1.7964
2.5539 0.7263 2.1572
0.0000 2.9688 5.2923
2.5539 2.1568 -0.4649
0.0000 1.5383 7.9144
2.5539 3.5951 3.8923
0.0000 0.1000 3.5571
```

Values from the calculation:
Total energy   -2.92 eV/atom
Symmetry   C2/m

***

(10)
Below is a geometry-optimized CeTlHg structure, with properties calculated at the PBE level.

```
CeTlHg
1.0
5.0473 0.0000 0.0000
2.5236 4.3711 0.0000
2.5236 1.4570 4.1211
Tl Hg Ce
1 1 1
Cartesian
5.0473 2.9140 2.0605
2.5236 1.4570 1.0303
0.0000 0.0000 0.0000
```

Values from the calculation:
Polymorph energy (0 for the lowest one)   100.7 meV per atom
Total energy   -3.07 eV/atom
Symmetry   F-43m

***

(11)
Below is a geometry-optimized Ce2TlHg2 structure, with properties calculated at the PBE level.

```
Ce2TlHg2
1.0
-2.6759 -2.9030 -3.1299
-3.3045 -4.2952 2.7541
-11.2191 0.9039 4.6984
Ce Tl Hg
4 2 4
Cartesian
-14.3566 -3.6577 5.5291
-8.4327 -3.4135 0.2380
-2.8429 -2.6367 -1.2065
-8.7668 -2.8809 4.0846
-5.9522 -3.7212 2.4577
-11.2474 -2.5731 1.8649
-11.6483 -4.7886 4.2628
-11.4750 -1.7498 5.3512
-5.5513 -1.5057 0.0599
-5.7245 -4.5446 -1.0285
```

Values from the calculation:
Polymorph energy (0 for the lowest one)   0.0 meV per atom
Total energy   -3.23 eV/atom
Symmetry   C2/m

***

(12)
Below is a geometry-optimized CeTl2Hg structure, with properties calculated at the PBE level.

```
CeTl2Hg
1.0
3.4175 0.0000 0.0000
1.7087 2.9596 0.0000
1.7087 0.9865 11.8010
Tl Hg Ce
2 1 1
Cartesian
1.7087 0.9865 8.5623
5.1262 2.9596 3.2387
3.4175 1.9731 5.9005
0.0000 0.0000 0.0000
```

Values from the calculation:
Polymorph energy (0 for the lowest one)   394.1 meV per atom
Total energy   -2.59 eV/atom
Symmetry   R-3m